(1)
Entry from the Alexandria database: a relaxed structure of TbScGa2Pd5 (GGA-PBE).

Properties
Calculated formation energy (eV/atom): -0.7486
Total energy (eV/atom): -5.52
Calculated volume (Å³/cell): 159.3

Geometry as CIF:
```
data_TbScGa2Pd5
_chemical_formula_sum 'Tb1 Sc1 Ga2 Pd5'
_space_group_name_H-M_alt 'P 4/m m m'
_space_group_IT_number 123
_space_group_name_Hall '-P 4 2'
_cell_length_a 4.133
_cell_length_b 4.133
_cell_length_c 9.323
_cell_angle_alpha 90.00
_cell_angle_beta 90.00
_cell_angle_gamma 90.00
loop_
_atom_site_label
_atom_site_type_symbol
_atom_site_fract_x
_atom_site_fract_y
_atom_site_fract_z
_atom_site_occupancy
Tb1 Tb 0.000 0.000 0.000 1
Sc1 Sc 0.000 0.000 0.500 1
Ga1 Ga 0.500 0.500 0.371 1
Pd1 Pd 0.000 0.500 0.225 1
Pd2 Pd 0.500 0.500 0.000 1
```

=====

(2)
Entry from the Alexandria database: a relaxed structure of KTaNbO6 (GGA-PBE).

Properties
ΔE_f (raw) (eV/f.u.): -21.17
Total energy (eV/atom): -8.22
Calculated volume (Å³/cell): 306.5

Geometry as CIF:
```
data_KTaNbO6
_chemical_formula_sum 'K2 Ta2 Nb2 O12'
_space_group_name_H-M_alt 'C 1 2 1'
_space_group_IT_number 5
_space_group_name_Hall 'C 2y'
_cell_length_a 5.491
_cell_length_b 9.675
_cell_length_c 5.774
_cell_angle_alpha 90.00
_cell_angle_beta 92.16
_cell_angle_gamma 90.00
loop_
_atom_site_label
_atom_site_type_symbol
_atom_site_fract_x
_atom_site_fract_y
_atom_site_fract_z
_atom_site_occupancy
K1 K 0.000 0.000 0.000 1
Ta1 Ta 0.000 0.319 0.500 1
Nb1 Nb 0.000 0.680 0.500 1
O1 O 0.084 0.498 0.332 1
O2 O 0.192 0.205 0.299 1
O3 O 0.195 0.795 0.300 1
```

=====

(3)
Entry from the Alexandria database: a relaxed structure of SiRh2Pb (GGA-PBE).

Properties
ΔE_f (raw) (eV/f.u.): 0.00
Total energy (eV/atom): -5.96
ΔE to the lowest computed polymorph (eV/atom): 0.4163
Calculated volume (Å³/cell): 65.5

Geometry as CIF:
```
data_SiRh2Pb
_chemical_formula_sum 'Si1 Rh2 Pb1'
_space_group_name_H-M_alt 'P 4/m m m'
_space_group_IT_number 123
_space_group_name_Hall '-P 4 2'
_cell_length_a 4.390
_cell_length_b 4.390
_cell_length_c 3.399
_cell_angle_alpha 90.00
_cell_angle_beta 90.00
_cell_angle_gamma 90.00
loop_
_atom_site_label
_atom_site_type_symbol
_atom_site_fract_x
_atom_site_fract_y
_atom_site_fract_z
_atom_site_occupancy
Si1 Si 0.000 0.000 0.000 1
Rh1 Rh 0.000 0.500 0.500 1
Pb1 Pb 0.500 0.500 0.000 1
```

=====

(4)
Entry from the Alexandria database: a relaxed structure of Tb6In3Ru (GGA-PBE).

Properties
Calculated formation energy (eV/atom): -0.3319
Total energy (eV/atom): -4.86
ΔE to the lowest computed polymorph (eV/atom): 0.0340
Calculated volume (Å³/cell): 549.9

Geometry as CIF:
```
data_Tb6In3Ru
_chemical_formula_sum 'Tb12 In6 Ru2'
_space_group_name_H-M_alt 'P n n m'
_space_group_IT_number 58
_space_group_name_Hall '-P 2 2n'
_cell_length_a 9.068
_cell_length_b 11.604
_cell_length_c 5.226
_cell_angle_alpha 90.00
_cell_angle_beta 90.00
_cell_angle_gamma 90.00
loop_
_atom_site_label
_atom_site_type_symbol
_atom_site_fract_x
_atom_site_fract_y
_atom_site_fract_z
_atom_site_occupancy
Tb1 Tb 0.011 0.236 0.000 1
Tb2 Tb 0.154 0.082 0.500 1
Tb3 Tb 0.191 0.416 0.500 1
In1 In 0.000 0.500 0.000 1
In2 In 0.155 0.728 0.500 1
Ru1 Ru 0.000 0.000 0.000 1
```

=====

(5)
Entry from the Alexandria database: a relaxed structure of MgCdNi2 (GGA-PBE).

Properties
Calculated formation energy (eV/atom): 0.1214
Total energy (eV/atom): -3.40
Calculated volume (Å³/cell): 181.0

Geometry as CIF:
```
data_MgCdNi2
_chemical_formula_sum 'Mg3 Cd3 Ni6'
_space_group_name_H-M_alt 'R -3 m'
_space_group_IT_number 166
_space_group_name_Hall '-R 3 2"'
_cell_length_a 2.8575
_cell_length_b 2.8575
_cell_length_c 25.6007
_cell_angle_alpha 90.00
_cell_angle_beta 90.00
_cell_angle_gamma 120.00
loop_
_atom_site_label
_atom_site_type_symbol
_atom_site_fract_x
_atom_site_fract_y
_atom_site_fract_z
_atom_site_occupancy
Mg1 Mg 0.0000 0.0000 0.0000 1
Cd1 Cd 0.0000 0.0000 0.5000 1
Ni1 Ni 0.0000 0.0000 0.2531 1
```

=====

(6)
Entry from the Alexandria database: a relaxed structure of VZnP2S (GGA-PBE).

Properties
ΔE_f (raw) (eV/f.u.): 1.26
Total energy (eV/atom): -4.82
ΔE to the lowest computed polymorph (eV/atom): 0.0000
Calculated volume (Å³/cell): 94.8

Geometry as CIF:
```
data_VZnP2S
_chemical_formula_sum 'V1 Zn1 P2 S1'
_space_group_name_H-M_alt 'P 4/m m m'
_space_group_IT_number 123
_space_group_name_Hall '-P 4 2'
_cell_length_a 4.611
_cell_length_b 4.611
_cell_length_c 4.457
_cell_angle_alpha 90.00
_cell_angle_beta 90.00
_cell_angle_gamma 90.00
loop_
_atom_site_label
_atom_site_type_symbol
_atom_site_fract_x
_atom_site_fract_y
_atom_site_fract_z
_atom_site_occupancy
V1 V 0.000 0.000 0.000 1
Zn1 Zn 0.500 0.500 0.500 1
P1 P 0.000 0.500 0.000 1
S1 S 0.000 0.000 0.500 1
```

=====

(7)
Entry from the Alexandria database: a relaxed structure of LaCrAgRh2 (GGA-PBE).

Properties
Calculated formation energy (eV/atom): 1.2167
Total energy (eV/atom): -5.20
Calculated volume (Å³/cell): 125.6

Geometry as CIF:
```
data_LaCrAgRh2
_chemical_formula_sum 'La1 Cr1 Ag1 Rh2'
_space_group_name_H-M_alt 'P 4/m m m'
_space_group_IT_number 123
_space_group_name_Hall '-P 4 2'
_cell_length_a 4.848
_cell_length_b 4.848
_cell_length_c 5.344
_cell_angle_alpha 90.00
_cell_angle_beta 90.00
_cell_angle_gamma 90.00
loop_
_atom_site_label
_atom_site_type_symbol
_atom_site_fract_x
_atom_site_fract_y
_atom_site_fract_z
_atom_site_occupancy
La1 La 0.000 0.000 0.000 1
Cr1 Cr 0.000 0.000 0.500 1
Ag1 Ag 0.500 0.500 0.500 1
Rh1 Rh 0.000 0.500 0.000 1
```

=====

(8)
Entry from the Alexandria database: a relaxed structure of GaNiPt4 (GGA-PBE).

Properties
Calculated formation energy (eV/atom): -0.3263
Total energy (eV/atom): -5.82
ΔE to the lowest computed polymorph (eV/atom): 0.0000
Calculated volume (Å³/cell): 176.0

Geometry as CIF:
```
data_GaNiPt4
_chemical_formula_sum 'Ga2 Ni2 Pt8'
_space_group_name_H-M_alt 'C m m m'
_space_group_IT_number 65
_space_group_name_Hall '-C 2 2'
_cell_length_a 3.968
_cell_length_b 11.272
_cell_length_c 3.935
_cell_angle_alpha 90.00
_cell_angle_beta 90.00
_cell_angle_gamma 90.00
loop_
_atom_site_label
_atom_site_type_symbol
_atom_site_fract_x
_atom_site_fract_y
_atom_site_fract_z
_atom_site_occupancy
Ga1 Ga 0.000 0.000 0.000 1
Ni1 Ni 0.000 0.500 0.500 1
Pt1 Pt 0.000 0.159 0.500 1
Pt2 Pt 0.000 0.344 0.000 1
```

=====

(9)
Entry from the Alexandria database: a relaxed structure of Y2CdAg (GGA-PBE).

Properties
Calculated formation energy (eV/atom): -0.1571
Total energy (eV/atom): -4.33
Calculated volume (Å³/cell): 201.1

Geometry as CIF:
```
data_Y2CdAg
_chemical_formula_sum 'Y4 Cd2 Ag2'
_space_group_name_H-M_alt 'I -4 m 2'
_space_group_IT_number 119
_space_group_name_Hall 'I -4 -2'
_cell_length_a 4.449
_cell_length_b 4.449
_cell_length_c 10.160
_cell_angle_alpha 90.00
_cell_angle_beta 90.00
_cell_angle_gamma 90.00
loop_
_atom_site_label
_atom_site_type_symbol
_atom_site_fract_x
_atom_site_fract_y
_atom_site_fract_z
_atom_site_occupancy
Y1 Y 0.000 0.000 0.000 1
Y2 Y 0.000 0.500 0.250 1
Cd1 Cd 0.000 0.000 0.500 1
Ag1 Ag 0.000 0.500 0.750 1
```

=====

(10)
Entry from the Alexandria database: a relaxed structure of ZnCo3Ir (GGA-PBE).

Properties
Calculated formation energy (eV/atom): 1.3115
Total energy (eV/atom): -4.98
ΔE to the lowest computed polymorph (eV/atom): 0.0000
Calculated volume (Å³/cell): 94.3

Geometry as CIF:
```
data_ZnCo3Ir
_chemical_formula_sum 'Zn1 Co3 Ir1'
_space_group_name_H-M_alt 'P m -3 m'
_space_group_IT_number 221
_space_group_name_Hall '-P 4 2 3'
_cell_length_a 4.552
_cell_length_b 4.552
_cell_length_c 4.552
_cell_angle_alpha 90.00
_cell_angle_beta 90.00
_cell_angle_gamma 90.00
loop_
_atom_site_label
_atom_site_type_symbol
_atom_site_fract_x
_atom_site_fract_y
_atom_site_fract_z
_atom_site_occupancy
Zn1 Zn 0.000 0.000 0.000 1
Co1 Co 0.000 0.500 0.500 1
Ir1 Ir 0.500 0.500 0.500 1
```

=====

(11)
Entry from the Alexandria database: a relaxed structure of HgSb2As (GGA-PBE).

Properties
ΔE_f (raw) (eV/f.u.): 1.16
Total energy (eV/atom): -3.01
ΔE to the lowest computed polymorph (eV/atom): 0.2601
Calculated volume (Å³/cell): 396.8

Geometry as CIF:
```
data_HgSb2As
_chemical_formula_sum 'Hg4 Sb8 As4'
_space_group_name_H-M_alt 'F -4 3 m'
_space_group_IT_number 216
_space_group_name_Hall 'F -4 2 3'
_cell_length_a 7.348
_cell_length_b 7.348
_cell_length_c 7.348
_cell_angle_alpha 90.00
_cell_angle_beta 90.00
_cell_angle_gamma 90.00
loop_
_atom_site_label
_atom_site_type_symbol
_atom_site_fract_x
_atom_site_fract_y
_atom_site_fract_z
_atom_site_occupancy
Hg1 Hg 0.000 0.000 0.000 1
Sb1 Sb 0.000 0.000 0.500 1
Sb2 Sb 0.250 0.250 0.250 1
As1 As 0.250 0.250 0.750 1
```

=====

(12)
Entry from the Alexandria database: a relaxed structure of NpMn4 (GGA-PBE).

Properties
Calculated formation energy (eV/atom): 1.0764
Total energy (eV/atom): -8.85
Calculated volume (Å³/cell): 91.8

Geometry as CIF:
```
data_NpMn4
_chemical_formula_sum 'Np1 Mn4'
_space_group_name_H-M_alt 'P m -3 m'
_space_group_IT_number 221
_space_group_name_Hall '-P 4 2 3'
_cell_length_a 4.511
_cell_length_b 4.511
_cell_length_c 4.511
_cell_angle_alpha 90.00
_cell_angle_beta 90.00
_cell_angle_gamma 90.00
loop_
_atom_site_label
_atom_site_type_symbol
_atom_site_fract_x
_atom_site_fract_y
_atom_site_fract_z
_atom_site_occupancy
Np1 Np 0.000 0.000 0.000 1
Mn1 Mn 0.000 0.000 0.500 1
Mn2 Mn 0.500 0.500 0.500 1
```

=====

- total energy of number 3 (SiRh2Pb)?
  -5.96 eV/atom

=====

- The lowest calculated volume belongs to which entry?
  SiRh2Pb

=====

- Among the records above, which one has the highest total energy?
  HgSb2As